Compound: BaS3N
Source: Alexandria via LeMat-Bulk
Functional: GGA-PBE
Structure: optimized geometry

Excess energy over the best structure of this formula in the dataset ... 0.000 eV per formula unit
E_form (uncorrected) ... 197 meV per atom
Uncorrected energy ... -4.329 eV per atom
DOS(E_F) ... 0.9576 states/eV/atom

a = 4.5438 Å, b = 4.5438 Å, c = 4.5438 Å
α = 90.00°, β = 90.00°, γ = 90.00°
Space group Pm-3m (No. 221)
Inequivalent atoms, fractional coordinates:
Ba 0.0000 0.0000 0.0000 x1
S 0.0000 0.5000 0.5000 x3
N 0.5000 0.5000 0.5000 x1

Compound: Cs8HPtAu2
Source: Alexandria via LeMat-Bulk
Functional: GGA-PBE
Structure: optimized geometry

Uncorrected energy ... -2.009 eV per atom
DOS(E_F) ... 0.6923 states/eV/atom

a = 8.4350 Å, b = 9.9278 Å, c = 8.4865 Å
α = 90.00°, β = 90.77°, γ = 90.00°
Space group P2/m (No. 10)
Inequivalent atoms, fractional coordinates:
Cs 0.1963 0.2408 0.1785 x4
Cs 0.2708 0.0000 0.7145 x2
Cs 0.2714 0.5000 0.7028 x2
H 0.0000 0.0000 0.0000 x1
Pt 0.0000 0.5000 0.0000 x1
Au 0.5000 0.2467 0.5000 x2

Compound: Mg4AlCd2
Source: Alexandria via LeMat-Bulk
Functional: GGA-PBE
Structure: optimized geometry

Energy of formation from the pure elements ... 78 meV/atom
Uncorrected energy ... -1.629 eV per atom
DOS(E_F) ... 0.6898 states/eV/atom

a = 13.7240 Å, b = 13.7240 Å, c = 13.7240 Å
α = 90.00°, β = 90.00°, γ = 90.00°
Space group Fd-3m (No. 227, origin choice 2)
Inequivalent atoms, fractional coordinates:
Mg 0.0000 0.0000 0.0000 x16
Mg 0.1056 0.3750 0.8750 x48
Al 0.0000 0.0000 0.5000 x16
Cd 0.0216 0.0216 0.2284 x32

Compound: Zn2CdF
Source: Alexandria via LeMat-Bulk
Functional: GGA-PBE
Structure: optimized geometry

Excess energy over the best structure of this formula in the dataset ... 0.000 eV per formula unit
E_form (uncorrected) ... -548 meV per atom
Uncorrected energy ... -1.882 eV per atom
DOS(E_F) ... 0.2334 states/eV/atom

a = 7.1936 Å, b = 7.1936 Å, c = 5.3185 Å
α = 90.00°, β = 90.00°, γ = 90.00°
Space group I-42d (No. 122)
Inequivalent atoms, fractional coordinates:
Zn 0.2054 0.2500 0.1250 x8
Cd 0.0000 0.0000 0.5000 x4
F 0.0000 0.0000 0.0000 x4

Compound: Ba2SbBr
Source: Alexandria via LeMat-Bulk
Functional: GGA-PBE
Structure: optimized geometry

E_form (uncorrected) ... -1411 meV per atom
Uncorrected energy ... -3.821 eV per atom
DOS(E_F) ... 0.0811 states/eV/atom

a = 4.4761 Å, b = 4.3357 Å, c = 8.8334 Å
α = 90.00°, β = 90.23°, γ = 90.00°
Space group P2/m (No. 10)
Inequivalent atoms, fractional coordinates:
Ba 0.0018 0.0000 0.2061 x2
Sb 0.5000 0.5000 0.0000 x1
Br 0.0000 0.5000 0.5000 x1

Compound: MgGaTe2
Source: Alexandria via LeMat-Bulk
Functional: GGA-PBE
Structure: optimized geometry

E_form (uncorrected) ... -79 meV per atom
Uncorrected energy ... -2.806 eV per atom
DOS(E_F) ... 0.7930 states/eV/atom

a = 3.6620 Å, b = 3.6620 Å, c = 31.2002 Å
α = 90.00°, β = 90.00°, γ = 120.00°
Space group R-3m (No. 166, hexagonal axes)
Inequivalent atoms, fractional coordinates:
Mg 0.0000 0.0000 0.0000 x3
Ga 0.0000 0.0000 0.5000 x3
Te 0.0000 0.0000 0.3974 x6

Compound: LaIr3
Source: Alexandria via LeMat-Bulk
Functional: GGA-PBE
Structure: optimized geometry

Energy of formation from the pure elements ... -31 meV/atom
Uncorrected energy ... -7.909 eV per atom
DOS(E_F) ... 0.8222 states/eV/atom

a = 2.9568 Å, b = 9.3735 Å, c = 5.1018 Å
α = 90.00°, β = 90.00°, γ = 90.00°
Space group Imm2 (No. 44)
Inequivalent atoms, fractional coordinates:
La 0.0000 0.0000 0.0000 x2
Ir 0.0000 0.2389 0.6646 x4
Ir 0.0000 0.5000 0.9892 x2

Compound: TcSnGe2N
Source: Alexandria via LeMat-Bulk
Functional: GGA-PBE
Structure: optimized geometry

E_form (uncorrected) ... 825 meV per atom
Uncorrected energy ... -5.561 eV per atom
DOS(E_F) ... 0.6200 states/eV/atom

a = 4.1474 Å, b = 4.1474 Å, c = 4.7724 Å
α = 90.00°, β = 90.00°, γ = 90.00°
Space group P4/mmm (No. 123)
Inequivalent atoms, fractional coordinates:
Tc 0.0000 0.0000 0.0000 x1
Sn 0.5000 0.5000 0.0000 x1
Ge 0.0000 0.5000 0.5000 x2
N 0.5000 0.5000 0.5000 x1

Compound: SrCoS3
Source: Alexandria via LeMat-Bulk
Functional: GGA-PBE
Structure: optimized geometry

E_form (uncorrected) ... -675 meV per atom
Uncorrected energy ... -4.909 eV per atom
DOS(E_F) ... 1.4985 states/eV/atom

a = 4.6015 Å, b = 4.6015 Å, c = 4.6015 Å
α = 90.00°, β = 90.00°, γ = 90.00°
Space group Pm-3m (No. 221)
Inequivalent atoms, fractional coordinates:
Sr 0.0000 0.0000 0.0000 x1
Co 0.5000 0.5000 0.5000 x1
S 0.0000 0.5000 0.5000 x3

Compound: TmAl8Co2
Source: Alexandria via LeMat-Bulk
Functional: GGA-PBE
Structure: optimized geometry

Energy of formation from the pure elements ... 82 meV/atom
Uncorrected energy ... -4.339 eV per atom
DOS(E_F) ... 0.8109 states/eV/atom

a = 5.6179 Å, b = 5.6179 Å, c = 7.5755 Å
α = 90.00°, β = 90.00°, γ = 90.00°
Space group P4/mmm (No. 123)
Inequivalent atoms, fractional coordinates:
Tm 0.0000 0.0000 0.0000 x1
Al 0.2508 0.2508 0.3202 x8
Co 0.0000 0.5000 0.5000 x2

Compound: MgPaPd2
Source: Alexandria via LeMat-Bulk
Functional: GGA-PBE
Structure: optimized geometry

Excess energy over the best structure of this formula in the dataset ... 0.000 eV per formula unit
Energy of formation from the pure elements ... -589 meV/atom
Uncorrected energy ... -5.958 eV per atom
DOS(E_F) ... 0.8460 states/eV/atom

a = 3.1960 Å, b = 3.1960 Å, c = 7.2779 Å
α = 90.00°, β = 90.00°, γ = 90.00°
Space group P4/mmm (No. 123)
Inequivalent atoms, fractional coordinates:
Mg 0.0000 0.0000 0.0000 x1
Pa 0.0000 0.0000 0.5000 x1
Pd 0.5000 0.5000 0.2236 x2

Compound: AlSeIO2
Source: Alexandria via LeMat-Bulk
Functional: GGA-PBE
Structure: optimized geometry

Excess energy over the best structure of this formula in the dataset ... 0.000 eV per formula unit
E_form (uncorrected) ... -657 meV per atom
Uncorrected energy ... -4.396 eV per atom
DOS(E_F) ... 1.0194 states/eV/atom

a = 3.7794 Å, b = 3.7794 Å, c = 7.1500 Å
α = 90.00°, β = 90.00°, γ = 90.00°
Space group P4/mmm (No. 123)
Inequivalent atoms, fractional coordinates:
Al 0.0000 0.0000 0.0000 x1
Se 0.5000 0.5000 0.5000 x1
I 0.0000 0.0000 0.5000 x1
O 0.0000 0.5000 0.0000 x2